# 1
{"formula": "AcTb8Sm6", "functional": "PBE", "state": "relaxed", "cell": [[4.891, 2.824, 6.141], [-4.891, 2.824, 6.141], [0.000, -5.647, 6.141]], "species": ["Ac", "Tb", "Tb", "Tb", "Tb", "Tb", "Tb", "Tb", "Tb", "Sm", "Sm", "Sm", "Sm", "Sm", "Sm"], "fractional_positions": [[0.000, 0.000, 0.000], [0.056, 0.859, 0.388], [0.141, 0.612, 0.944], [0.233, 0.233, 0.233], [0.388, 0.056, 0.859], [0.612, 0.944, 0.141], [0.767, 0.767, 0.767], [0.859, 0.388, 0.056], [0.944, 0.141, 0.612], [0.170, 0.430, 0.619], [0.381, 0.830, 0.570], [0.430, 0.619, 0.170], [0.570, 0.381, 0.830], [0.619, 0.170, 0.430], [0.830, 0.570, 0.381]], "m_tot_mub_per_cell": 0.0, "delta_e_f_ev_per_atom": 0.206, "n_ef_per_ev_cell": 21.17, "spacegroup": "R-3, No. 148"}

# 2
{"formula": "Rb3TbU2O9", "functional": "PBE", "state": "relaxed", "cell": [[6.170, 0.000, 0.000], [-3.085, 5.343, 0.000], [0.000, 0.000, 7.551]], "species": ["Rb", "Rb", "Rb", "Tb", "U", "U", "O", "O", "O", "O", "O", "O", "O", "O", "O"], "fractional_positions": [[0.000, 0.000, 0.000], [0.333, 0.667, 0.662], [0.667, 0.333, 0.338], [0.000, 0.000, 0.500], [0.333, 0.667, 0.167], [0.667, 0.333, 0.833], [0.000, 0.500, 0.000], [0.176, 0.351, 0.321], [0.176, 0.824, 0.321], [0.351, 0.176, 0.679], [0.500, 0.000, 0.000], [0.500, 0.500, 0.000], [0.649, 0.824, 0.321], [0.824, 0.176, 0.679], [0.824, 0.649, 0.679]], "m_tot_mub_per_cell": 0.0, "n_ef_per_ev_cell": 0.00, "raw_formation_energy_ev_per_atom": -2.869, "spacegroup": "P-3m1, No. 164"}

# 3
{"formula": "Sm2Ho6Er5", "functional": "PBE", "state": "relaxed", "cell": [[11.599, 0.000, 0.000], [0.000, 20.039, 0.000], [0.000, 0.000, 3.560]], "species": ["Sm", "Sm", "Sm", "Sm", "Ho", "Ho", "Ho", "Ho", "Ho", "Ho", "Ho", "Ho", "Ho", "Ho", "Ho", "Ho", "Er", "Er", "Er", "Er", "Er", "Er", "Er", "Er", "Er", "Er"], "fractional_positions": [[0.166, 0.213, 0.000], [0.334, 0.713, 0.000], [0.666, 0.287, 0.000], [0.834, 0.787, 0.000], [0.059, 0.921, 0.000], [0.082, 0.633, 0.000], [0.175, 0.370, 0.500], [0.325, 0.870, 0.500], [0.418, 0.133, 0.000], [0.441, 0.421, 0.000], [0.559, 0.579, 0.000], [0.582, 0.867, 0.000], [0.675, 0.130, 0.500], [0.825, 0.630, 0.500], [0.918, 0.367, 0.000], [0.941, 0.079, 0.000], [0.000, 0.500, 0.500], [0.093, 0.776, 0.500], [0.199, 0.050, 0.500], [0.301, 0.550, 0.500], [0.407, 0.276, 0.500], [0.500, 0.000, 0.500], [0.593, 0.724, 0.500], [0.699, 0.450, 0.500], [0.801, 0.950, 0.500], [0.907, 0.224, 0.500]], "m_tot_mub_per_cell": 0.0, "delta_e_f_ev_per_atom": 0.100, "n_ef_per_ev_cell": 32.05, "spacegroup": "Pbam, No. 55"}

# 4
{"formula": "DyHf2Ru3", "functional": "PBE", "state": "relaxed", "cell": [[3.280, 0.000, 0.000], [0.000, 3.280, 0.000], [0.000, 0.000, 9.965]], "species": ["Dy", "Hf", "Hf", "Ru", "Ru", "Ru"], "fractional_positions": [[0.000, 0.000, 0.000], [0.000, 0.000, 0.336], [0.000, 0.000, 0.664], [0.500, 0.500, 0.184], [0.500, 0.500, 0.500], [0.500, 0.500, 0.816]], "m_tot_mub_per_cell": 0.0, "delta_e_f_ev_per_atom": -0.683, "n_ef_per_ev_cell": 0.97, "spacegroup": "P4/mmm, No. 123"}

# 5
{"formula": "CaCrAg4", "functional": "PBE", "state": "relaxed", "cell": [[0.000, 3.960, 3.960], [3.960, 0.000, 3.960], [3.960, 3.960, 0.000]], "species": ["Ca", "Cr", "Ag", "Ag", "Ag", "Ag"], "fractional_positions": [[0.000, 0.000, 0.000], [0.750, 0.750, 0.750], [0.375, 0.375, 0.375], [0.375, 0.375, 0.874], [0.375, 0.874, 0.375], [0.874, 0.375, 0.375]], "m_tot_mub_per_cell": 5.0, "delta_e_f_ev_per_atom": 0.081, "n_ef_per_ev_cell": 2.71, "spacegroup": "F-43m, No. 216"}

# 6
{"formula": "Pr2DyAg", "functional": "PBE", "state": "relaxed", "cell": [[3.661, 0.000, 0.000], [-1.831, 3.171, 0.000], [0.000, 0.000, 32.260]], "species": ["Pr", "Pr", "Pr", "Pr", "Pr", "Pr", "Dy", "Dy", "Dy", "Ag", "Ag", "Ag"], "fractional_positions": [[0.000, 0.000, 0.242], [0.000, 0.000, 0.758], [0.333, 0.667, 0.424], [0.333, 0.667, 0.909], [0.667, 0.333, 0.091], [0.667, 0.333, 0.576], [0.000, 0.000, 0.000], [0.333, 0.667, 0.667], [0.667, 0.333, 0.333], [0.000, 0.000, 0.500], [0.333, 0.667, 0.167], [0.667, 0.333, 0.833]], "m_tot_mub_per_cell": 0.0, "delta_e_f_ev_per_atom": -0.003, "n_ef_per_ev_cell": 11.09, "spacegroup": "R-3m, No. 166"}

# 7
{"formula": "Nb2Ni7Au", "functional": "PBE", "state": "relaxed", "cell": [[2.400, -10.682, 0.000], [2.400, 10.682, 0.000], [0.000, 0.000, 2.606]], "species": ["Nb", "Nb", "Ni", "Ni", "Ni", "Ni", "Ni", "Ni", "Ni", "Au"], "fractional_positions": [[0.204, 0.796, 0.000], [0.796, 0.204, 0.000], [0.000, 0.000, 0.000], [0.149, 0.350, 0.000], [0.316, 0.684, 0.500], [0.350, 0.149, 0.000], [0.650, 0.851, 0.000], [0.684, 0.316, 0.500], [0.851, 0.650, 0.000], [0.500, 0.500, 0.500]], "m_tot_mub_per_cell": 0.1, "delta_e_f_ev_per_atom": 0.074, "n_ef_per_ev_cell": 13.28, "spacegroup": "Cmmm, No. 65"}

# 8
{"formula": "NpCo2H8Pt", "functional": "PBE", "state": "relaxed", "cell": [[4.472, 0.000, 0.000], [-2.236, 3.873, 0.000], [0.000, 0.000, 6.124]], "species": ["Np", "Co", "Co", "H", "H", "H", "H", "H", "H", "H", "H", "Pt"], "fractional_positions": [[0.000, 0.000, 0.000], [0.333, 0.667, 0.124], [0.667, 0.333, 0.876], [0.174, 0.347, 0.325], [0.174, 0.826, 0.325], [0.333, 0.667, 0.873], [0.347, 0.174, 0.675], [0.653, 0.826, 0.325], [0.667, 0.333, 0.127], [0.826, 0.174, 0.675], [0.826, 0.653, 0.675], [0.000, 0.000, 0.500]], "e_tot_ev_per_atom": -4.951, "m_tot_mub_per_cell": 1.1, "n_ef_per_ev_cell": 4.91, "spacegroup": "P-3m1, No. 164"}

> Number 4 is which compound?

DyHf2Ru3